Record 1
A relaxed structure of Sr3Li8Mg. Source: Alexandria, functional GGA-PBE.

Lattice parameters (Å, degrees): 6.227 6.227 10.855 73.33 73.33 60.00
Fractional coordinates of all 12 atoms:
Sr (0.990, 0.990, 0.031)
Sr (0.377, 0.377, 0.869)
Sr (0.507, 0.507, 0.478)
Li (0.940, 0.940, 0.674)
Li (0.190, 0.190, 0.431)
Li (0.942, 0.430, 0.198)
Li (0.446, 0.940, 0.674)
Li (0.430, 0.942, 0.198)
Li (0.430, 0.430, 0.198)
Li (0.685, 0.685, 0.944)
Li (0.940, 0.446, 0.674)
Mg (0.872, 0.872, 0.383)

Summary:
* theoretical density: 1.65 g cm⁻³
* energy of formation: 0.0095 eV per atom

---

Record 2
A relaxed structure of SrLiTbMg. Source: Alexandria, functional GGA-PBE.

Lattice parameters (Å, degrees): 5.616 5.616 5.616 60.00 60.00 60.00
Fractional coordinates of all 4 atoms:
Sr (0.250, 0.250, 0.250)
Mg (0.500, 0.500, 0.500)
Tb (0.750, 0.750, 0.750)
Li (0.000, 0.000, 0.000)

Summary:
* theoretical density: 3.68 g cm⁻³
* energy of formation: 0.0869 eV per atom

---

Record 3
A relaxed structure of SrLiMg2Tl2. Source: Alexandria, functional GGA-PBE.

Lattice parameters (Å, degrees): 4.983 4.983 7.573 90.00 90.00 120.00
Fractional coordinates of all 6 atoms:
Mg (0.333, 0.667, 0.663)
Mg (0.667, 0.333, 0.337)
Sr (0.000, 0.000, 0.000)
Tl (0.667, 0.333, 0.740)
Tl (0.333, 0.667, 0.260)
Li (0.000, 0.000, 0.500)

Summary:
* theoretical density: 5.63 g cm⁻³
* energy of formation: -0.2196 eV per atom

---

Record 4
A relaxed structure of SrLiMgTl2. Source: Alexandria, functional GGA-PBE.

Lattice parameters (Å, degrees): 6.846 5.749 7.012 90.00 90.00 90.00
Fractional coordinates of all 10 atoms:
Tl (0.273, 0.750, 0.749)
Tl (0.727, 0.250, 0.251)
Tl (0.727, 0.250, 0.749)
Tl (0.273, 0.750, 0.251)
Li (0.000, 0.500, 0.000)
Li (0.000, 0.000, 0.000)
Sr (0.222, 0.250, 0.500)
Sr (0.778, 0.750, 0.500)
Mg (0.371, 0.250, 0.000)
Mg (0.629, 0.750, 0.000)

Summary:
* theoretical density: 6.35 g cm⁻³
* ΔE to the lowest computed polymorph: 0 meV/atom
* energy of formation: -0.2047 eV per atom

---

Record 5
A relaxed structure of SrLi2MgTl. Source: Alexandria, functional GGA-PBE.

Lattice parameters (Å, degrees): 5.289 5.289 5.432 90.00 90.00 90.00
Fractional coordinates of all 5 atoms:
Sr (0.500, 0.500, 0.500)
Li (0.000, 0.500, 0.000)
Li (0.500, 0.000, 0.000)
Mg (0.000, 0.000, 0.500)
Tl (0.000, 0.000, 0.000)

Summary:
* theoretical density: 3.61 g cm⁻³
* energy of formation: -0.0204 eV per atom

---

Record 6
A relaxed structure of Sr2Li3Mg12Tl. Source: Alexandria, functional GGA-PBE.

Lattice parameters (Å, degrees): 7.851 7.851 7.851 84.23 84.23 84.23
Fractional coordinates of all 18 atoms:
Mg (0.273, 0.802, 0.802)
Mg (0.563, 0.563, 0.164)
Mg (0.164, 0.563, 0.563)
Mg (0.836, 0.437, 0.437)
Mg (0.802, 0.802, 0.273)
Mg (0.198, 0.198, 0.727)
Mg (0.437, 0.836, 0.437)
Mg (0.437, 0.437, 0.836)
Mg (0.802, 0.273, 0.802)
Mg (0.727, 0.198, 0.198)
Mg (0.563, 0.164, 0.563)
Mg (0.198, 0.727, 0.198)
Sr (0.245, 0.245, 0.245)
Sr (0.755, 0.755, 0.755)
Tl (0.000, 0.000, 0.000)
Li (0.000, 0.500, 0.000)
Li (0.500, 0.000, 0.000)
Li (0.000, 0.000, 0.500)

Summary:
* theoretical density: 2.41 g cm⁻³
* energy of formation: 0.0453 eV per atom

---

Record 7
A relaxed structure of Sr2Li2MgTl5. Source: Alexandria, functional GGA-PBE.

Lattice parameters (Å, degrees): 3.935 11.674 11.674 90.00 90.00 90.00
Fractional coordinates of all 20 atoms:
Tl (0.500, 0.941, 0.202)
Tl (0.500, 0.298, 0.559)
Tl (0.500, 0.500, 0.000)
Tl (0.500, 0.202, 0.059)
Tl (0.500, 0.798, 0.941)
Tl (0.500, 0.059, 0.798)
Tl (0.500, 0.559, 0.702)
Tl (0.500, 0.441, 0.298)
Tl (0.500, 0.702, 0.441)
Tl (0.500, 0.000, 0.500)
Mg (0.000, 0.000, 0.000)
Mg (0.000, 0.500, 0.500)
Li (0.000, 0.621, 0.879)
Li (0.000, 0.121, 0.621)
Li (0.000, 0.379, 0.121)
Li (0.000, 0.879, 0.379)
Sr (0.000, 0.679, 0.179)
Sr (0.000, 0.821, 0.679)
Sr (0.000, 0.179, 0.321)
Sr (0.000, 0.321, 0.821)

Summary:
* theoretical density: 7.65 g cm⁻³
* energy of formation: -0.2644 eV per atom

---

Record 8
A relaxed structure of Sr2LiMg2Tl5. Source: Alexandria, functional GGA-PBE.

Lattice parameters (Å, degrees): 4.148 11.737 11.737 90.00 90.00 90.00
Fractional coordinates of all 20 atoms:
Li (0.000, 0.500, 0.500)
Li (0.000, 0.000, 0.000)
Sr (0.000, 0.826, 0.674)
Sr (0.000, 0.174, 0.326)
Sr (0.000, 0.326, 0.826)
Sr (0.000, 0.674, 0.174)
Tl (0.500, 0.808, 0.938)
Tl (0.500, 0.062, 0.808)
Tl (0.500, 0.308, 0.562)
Tl (0.500, 0.562, 0.692)
Tl (0.500, 0.192, 0.062)
Tl (0.500, 0.500, 0.000)
Tl (0.500, 0.692, 0.438)
Tl (0.500, 0.000, 0.500)
Tl (0.500, 0.938, 0.192)
Tl (0.500, 0.438, 0.308)
Mg (0.000, 0.876, 0.376)
Mg (0.000, 0.124, 0.624)
Mg (0.000, 0.376, 0.124)
Mg (0.000, 0.624, 0.876)

Summary:
* theoretical density: 7.28 g cm⁻³
* energy of formation: -0.2200 eV per atom